{"formula": "Sb2TeOsPd", "functional": "PBE-GGA", "state": "relaxed", "e_form_raw_mev_per_atom": 1732, "final_energy_ev_per_atom": -3.8296, "lattice_angstrom": [[-4.089, 1.238, -3.740], [1.736, -3.316, -2.995], [-3.360, -3.909, 2.380]], "species": ["Sb", "Sb", "Te", "Os", "Pd"], "frac_coords": [[0.000, 0.000, 0.500], [0.500, 0.000, 0.000], [0.000, 0.000, 0.000], [0.500, 0.500, 0.500], [0.000, 0.500, 0.000]]}

---

{"formula": "Sb2OsPdW", "functional": "PBE-GGA", "state": "relaxed", "e_form_raw_mev_per_atom": 1375, "final_energy_ev_per_atom": -6.1488, "lattice_angstrom": [[5.062, 0.000, 0.000], [0.000, 4.866, 0.000], [0.000, 0.000, 5.062]], "species": ["Sb", "Sb", "Os", "Pd", "W"], "frac_coords": [[0.000, 0.000, 0.500], [0.500, 0.000, 0.000], [0.000, 0.000, 0.000], [0.500, 0.500, 0.500], [0.000, 0.500, 0.000]]}

---

{"formula": "Sb2OsPdW", "functional": "PBE-GGA", "state": "relaxed", "e_form_raw_mev_per_atom": 1400, "final_energy_ev_per_atom": -6.1240, "lattice_angstrom": [[5.154, 0.000, 0.000], [0.000, 4.776, 0.000], [0.000, 0.000, 5.154]], "species": ["Sb", "Sb", "Os", "Pd", "W"], "frac_coords": [[0.000, 0.000, 0.500], [0.500, 0.000, 0.000], [0.000, 0.500, 0.000], [0.500, 0.500, 0.500], [0.000, 0.000, 0.000]]}

---

{"formula": "Sc2Os2Pd", "functional": "PBE-GGA", "state": "relaxed", "formation_enthalpy_0k_mev_per_atom": -231, "final_energy_ev_per_atom": -8.2942, "lattice_angstrom": [[6.734, 0.000, 0.000], [0.000, 6.734, 0.000], [0.000, 0.000, 3.994]], "species": ["Sc", "Sc", "Sc", "Sc", "Os", "Os", "Os", "Os", "Pd", "Pd"], "frac_coords": [[0.179, 0.679, 0.500], [0.679, 0.821, 0.500], [0.821, 0.321, 0.500], [0.321, 0.179, 0.500], [0.375, 0.875, 0.000], [0.875, 0.625, 0.000], [0.625, 0.125, 0.000], [0.125, 0.375, 0.000], [0.000, 0.000, 0.000], [0.500, 0.500, 0.000]]}

---

{"formula": "Sc8OsPd2", "functional": "PBE-GGA", "state": "relaxed", "formation_enthalpy_0k_mev_per_atom": -351, "final_energy_ev_per_atom": -6.9211, "lattice_angstrom": [[-4.686, 1.675, 1.151], [0.936, 3.019, -6.846], [-0.957, -7.448, 0.682]], "species": ["Sc", "Sc", "Sc", "Sc", "Sc", "Sc", "Sc", "Sc", "Os", "Pd", "Pd"], "frac_coords": [[0.600, 0.328, 0.098], [0.600, 0.098, 0.328], [0.185, 0.368, 0.368], [0.996, 0.205, 0.795], [0.996, 0.795, 0.205], [0.806, 0.641, 0.641], [0.385, 0.907, 0.675], [0.385, 0.675, 0.907], [0.045, 0.005, 0.005], [0.502, 0.707, 0.304], [0.502, 0.304, 0.707]]}

---

{"formula": "Sc2OsPd", "functional": "PBE-GGA", "state": "relaxed", "formation_enthalpy_0k_mev_per_atom": -732, "final_energy_ev_per_atom": -8.0037, "lattice_angstrom": [[3.278, 0.000, 0.000], [0.000, 3.278, 0.000], [0.000, 0.000, 6.422]], "species": ["Sc", "Sc", "Os", "Pd"], "frac_coords": [[0.000, 0.000, 0.761], [0.000, 0.000, 0.239], [0.500, 0.500, 0.000], [0.500, 0.500, 0.500]]}

---

{"formula": "ScOsPd3", "functional": "PBE-GGA", "state": "relaxed", "formation_enthalpy_0k_mev_per_atom": 824, "final_energy_ev_per_atom": -5.8042, "lattice_angstrom": [[4.803, 0.000, 0.000], [0.000, 4.803, 0.000], [0.000, 0.000, 4.803]], "species": ["Sc", "Os", "Pd", "Pd", "Pd"], "frac_coords": [[0.500, 0.500, 0.500], [0.000, 0.000, 0.000], [0.000, 0.500, 0.000], [0.000, 0.000, 0.500], [0.500, 0.000, 0.000]]}

---

{"formula": "Sc4OsPd3", "functional": "PBE-GGA", "state": "relaxed", "formation_enthalpy_0k_mev_per_atom": -823, "final_energy_ev_per_atom": -7.3400, "lattice_angstrom": [[3.258, 0.000, 0.000], [0.000, 3.258, 0.000], [0.000, 0.000, 13.346]], "species": ["Sc", "Sc", "Sc", "Sc", "Os", "Pd", "Pd", "Pd"], "frac_coords": [[0.000, 0.000, 0.884], [0.000, 0.000, 0.116], [0.000, 0.000, 0.372], [0.000, 0.000, 0.628], [0.500, 0.500, 0.000], [0.500, 0.500, 0.249], [0.500, 0.500, 0.500], [0.500, 0.500, 0.751]]}